No. 1
! Mg2GaPt2 PBE relaxed; values from VASP
! spin magnetization	0.00	μB/f.u.
! D(E_F)	3.0	states/eV/cell
! formation enthalpy at 0 K	-361	meV per atom
! V	19.121	Å³/atom
&SYSTEM
  ibrav = 0, nat = 10, ntyp = 3
/
ATOMIC_SPECIES
Mg 24.30 Mg.upf
Ga 69.72 Ga.upf
Pt 195.08 Pt.upf
ATOMIC_POSITIONS crystal
Mg 0.000 0.500 0.250
Mg 0.000 0.500 0.750
Mg 0.500 0.000 0.250
Mg 0.500 0.000 0.750
Ga 0.000 0.000 0.000
Ga 0.500 0.500 0.500
Pt 0.000 0.000 0.393
Pt 0.000 0.000 0.607
Pt 0.500 0.500 0.107
Pt 0.500 0.500 0.893
CELL_PARAMETERS angstrom
3.973 0.000 0.000
0.000 3.973 0.000
0.000 0.000 12.115

***

No. 2
! Mg2Ga2Pt PBE relaxed; values from VASP
! spin magnetization	0.00	μB/f.u.
! D(E_F)	4.0	states/eV/cell
! energy relative to the lowest polymorph listed for this composition	6.94	kcal/mol of atoms
! formation enthalpy at 0 K	-200	meV per atom
! V	19.254	Å³/atom
&SYSTEM
  ibrav = 0, nat = 10, ntyp = 3
/
ATOMIC_SPECIES
Mg 24.30 Mg.upf
Ga 69.72 Ga.upf
Pt 195.08 Pt.upf
ATOMIC_POSITIONS crystal
Mg 0.000 0.000 0.091
Mg 0.000 0.000 0.909
Mg 0.500 0.500 0.409
Mg 0.500 0.500 0.591
Ga 0.000 0.500 0.250
Ga 0.000 0.500 0.750
Ga 0.500 0.000 0.250
Ga 0.500 0.000 0.750
Pt 0.000 0.000 0.500
Pt 0.500 0.500 0.000
CELL_PARAMETERS angstrom
3.545 0.000 0.000
0.000 3.545 0.000
0.000 0.000 15.325

***

No. 3
! Mg3Ga2Pt3 PBE relaxed; values from VASP
! spin magnetization	0.00	μB/f.u.
! D(E_F)	5.0	states/eV/cell
! formation enthalpy at 0 K	-684	meV per atom
! V	17.057	Å³/atom
&SYSTEM
  ibrav = 0, nat = 16, ntyp = 3
/
ATOMIC_SPECIES
Mg 24.30 Mg.upf
Ga 69.72 Ga.upf
Pt 195.08 Pt.upf
ATOMIC_POSITIONS crystal
Mg 0.000 0.248 0.250
Mg 0.000 0.752 0.750
Mg 0.248 0.000 0.250
Mg 0.248 0.248 0.750
Mg 0.752 0.000 0.750
Mg 0.752 0.752 0.250
Ga 0.333 0.667 0.000
Ga 0.333 0.667 0.500
Ga 0.667 0.333 0.000
Ga 0.667 0.333 0.500
Pt 0.000 0.398 0.750
Pt 0.000 0.602 0.250
Pt 0.398 0.000 0.750
Pt 0.398 0.398 0.250
Pt 0.602 0.000 0.250
Pt 0.602 0.602 0.750
CELL_PARAMETERS angstrom
7.738 0.000 0.000
-3.869 6.702 0.000
0.000 0.000 5.263

***

No. 4
! Mg2Ga2Pt PBE relaxed; values from VASP
! spin magnetization	0.00	μB/f.u.
! D(E_F)	4.0	states/eV/cell
! energy relative to the lowest polymorph listed for this composition	9.09	kcal/mol of atoms
! formation enthalpy at 0 K	-107	meV per atom
! V	19.275	Å³/atom
&SYSTEM
  ibrav = 0, nat = 10, ntyp = 3
/
ATOMIC_SPECIES
Mg 24.30 Mg.upf
Ga 69.72 Ga.upf
Pt 195.08 Pt.upf
ATOMIC_POSITIONS crystal
Mg 0.153 0.347 0.000
Mg 0.347 0.847 0.000
Mg 0.653 0.153 0.000
Mg 0.847 0.653 0.000
Ga 0.156 0.656 0.500
Ga 0.344 0.156 0.500
Ga 0.656 0.844 0.500
Ga 0.844 0.344 0.500
Pt 0.000 0.000 0.000
Pt 0.500 0.500 0.000
CELL_PARAMETERS angstrom
6.834 0.000 0.000
0.000 6.834 0.000
0.000 0.000 4.127

***

No. 5
! Mg4Ga3Pt PBE relaxed; values from VASP
! spin magnetization	0.00	μB/f.u.
! D(E_F)	2.1	states/eV/cell
! formation enthalpy at 0 K	-356	meV per atom
! V	18.695	Å³/atom
&SYSTEM
  ibrav = 0, nat = 8, ntyp = 3
/
ATOMIC_SPECIES
Mg 24.30 Mg.upf
Ga 69.72 Ga.upf
Pt 195.08 Pt.upf
ATOMIC_POSITIONS crystal
Mg 0.000 0.000 0.000
Mg 0.000 0.500 0.303
Mg 0.500 0.000 0.476
Mg 0.500 0.500 0.810
Ga 0.000 0.000 0.724
Ga 0.000 0.500 0.576
Ga 0.500 0.500 0.079
Pt 0.500 0.000 0.215
CELL_PARAMETERS angstrom
3.334 0.000 0.000
0.000 4.324 0.000
0.000 0.000 10.373

***

No. 6
! MgGaPt3 PBE relaxed; values from VASP
! spin magnetization	0.00	μB/f.u.
! D(E_F)	3.7	states/eV/cell
! energy relative to the lowest polymorph listed for this composition	0.00	kcal/mol of atoms
! formation enthalpy at 0 K	-435	meV per atom
! V	17.750	Å³/atom
&SYSTEM
  ibrav = 0, nat = 10, ntyp = 3
/
ATOMIC_SPECIES
Mg 24.30 Mg.upf
Ga 69.72 Ga.upf
Pt 195.08 Pt.upf
ATOMIC_POSITIONS crystal
Mg 0.216 0.784 0.750
Mg 0.784 0.216 0.250
Ga 0.500 0.500 0.000
Ga 0.500 0.500 0.500
Pt 0.167 0.235 0.750
Pt 0.235 0.167 0.250
Pt 0.277 0.723 0.250
Pt 0.723 0.277 0.750
Pt 0.765 0.833 0.750
Pt 0.833 0.765 0.250
CELL_PARAMETERS angstrom
3.398 -4.666 0.000
3.398 4.666 0.000
0.000 0.000 5.597

***

No. 7
! MgGaPt3 PBE relaxed; values from VASP
! spin magnetization	0.00	μB/f.u.
! D(E_F)	2.4	states/eV/cell
! energy relative to the lowest polymorph listed for this composition	11.98	kcal/mol of atoms
! formation enthalpy at 0 K	84	meV per atom
! V	19.968	Å³/atom
&SYSTEM
  ibrav = 0, nat = 5, ntyp = 3
/
ATOMIC_SPECIES
Mg 24.30 Mg.upf
Ga 69.72 Ga.upf
Pt 195.08 Pt.upf
ATOMIC_POSITIONS crystal
Mg 0.000 0.000 0.000
Ga 0.500 0.500 0.500
Pt 0.000 0.500 0.500
Pt 0.500 0.000 0.500
Pt 0.500 0.500 0.000
CELL_PARAMETERS angstrom
4.639 0.000 0.000
0.000 4.639 0.000
0.000 0.000 4.639

***

No. 8
! Mg3GaPt2 PBE relaxed; values from VASP
! spin magnetization	0.00	μB/f.u.
! D(E_F)	2.4	states/eV/cell
! energy relative to the lowest polymorph listed for this composition	0.69	kcal/mol of atoms
! formation enthalpy at 0 K	-627	meV per atom
! V	18.219	Å³/atom
&SYSTEM
  ibrav = 0, nat = 6, ntyp = 3
/
ATOMIC_SPECIES
Mg 24.30 Mg.upf
Ga 69.72 Ga.upf
Pt 195.08 Pt.upf
ATOMIC_POSITIONS crystal
Mg 0.000 0.000 0.000
Mg 0.319 0.817 0.368
Mg 0.681 0.183 0.632
Ga 0.500 0.500 0.000
Pt 0.123 0.625 0.749
Pt 0.877 0.375 0.251
CELL_PARAMETERS angstrom
3.772 0.000 0.000
0.009 4.078 0.000
1.860 2.027 7.106

***

No. 9
! MgGa2Pt PBE relaxed; values from VASP
! spin magnetization	0.00	μB/f.u.
! D(E_F)	6.7	states/eV/cell
! formation enthalpy at 0 K	-161	meV per atom
! V	19.171	Å³/atom
&SYSTEM
  ibrav = 0, nat = 12, ntyp = 3
/
ATOMIC_SPECIES
Mg 24.30 Mg.upf
Ga 69.72 Ga.upf
Pt 195.08 Pt.upf
ATOMIC_POSITIONS crystal
Mg 0.000 0.000 0.000
Mg 0.333 0.667 0.667
Mg 0.667 0.333 0.333
Ga 0.000 0.000 0.097
Ga 0.000 0.000 0.903
Ga 0.333 0.667 0.570
Ga 0.333 0.667 0.764
Ga 0.667 0.333 0.236
Ga 0.667 0.333 0.430
Pt 0.000 0.000 0.500
Pt 0.333 0.667 0.167
Pt 0.667 0.333 0.833
CELL_PARAMETERS angstrom
3.040 0.000 0.000
-1.520 2.633 0.000
0.000 0.000 28.735

***

No. 10
! MgGa8Pt6 PBE relaxed; values from VASP
! spin magnetization	0.00	μB/f.u.
! D(E_F)	3.5	states/eV/cell
! formation enthalpy at 0 K	-653	meV per atom
! V	17.012	Å³/atom
&SYSTEM
  ibrav = 0, nat = 15, ntyp = 3
/
ATOMIC_SPECIES
Mg 24.30 Mg.upf
Ga 69.72 Ga.upf
Pt 195.08 Pt.upf
ATOMIC_POSITIONS crystal
Mg 0.000 0.000 0.000
Ga 0.121 0.434 0.795
Ga 0.205 0.879 0.566
Ga 0.333 0.333 0.333
Ga 0.434 0.795 0.121
Ga 0.566 0.205 0.879
Ga 0.667 0.667 0.667
Ga 0.795 0.121 0.434
Ga 0.879 0.566 0.205
Pt 0.055 0.715 0.399
Pt 0.285 0.601 0.945
Pt 0.399 0.055 0.715
Pt 0.601 0.945 0.285
Pt 0.715 0.399 0.055
Pt 0.945 0.285 0.601
CELL_PARAMETERS angstrom
3.746 2.163 5.250
-3.746 2.163 5.250
0.000 -4.325 5.250

***

No. 11
! Mg2Ga3Pt2 PBE relaxed; values from VASP
! spin magnetization	0.00	μB/f.u.
! D(E_F)	4.0	states/eV/cell
! formation enthalpy at 0 K	-660	meV per atom
! V	17.514	Å³/atom
&SYSTEM
  ibrav = 0, nat = 14, ntyp = 3
/
ATOMIC_SPECIES
Mg 24.30 Mg.upf
Ga 69.72 Ga.upf
Pt 195.08 Pt.upf
ATOMIC_POSITIONS crystal
Mg 0.161 0.000 0.301
Mg 0.339 0.500 0.699
Mg 0.661 0.500 0.301
Mg 0.839 0.000 0.699
Ga 0.000 0.500 0.500
Ga 0.128 0.500 0.957
Ga 0.372 0.000 0.043
Ga 0.500 0.000 0.500
Ga 0.628 0.000 0.957
Ga 0.872 0.500 0.043
Pt 0.134 0.000 0.708
Pt 0.366 0.500 0.292
Pt 0.634 0.500 0.708
Pt 0.866 0.000 0.292
CELL_PARAMETERS angstrom
9.454 0.000 0.000
0.000 4.116 0.000
-2.359 0.000 6.301

***

No. 12
! MgGa2Pt3 PBE relaxed; values from VASP
! spin magnetization	0.00	μB/f.u.
! D(E_F)	2.8	states/eV/cell
! formation enthalpy at 0 K	-648	meV per atom
! V	15.590	Å³/atom
&SYSTEM
  ibrav = 0, nat = 6, ntyp = 3
/
ATOMIC_SPECIES
Mg 24.30 Mg.upf
Ga 69.72 Ga.upf
Pt 195.08 Pt.upf
ATOMIC_POSITIONS crystal
Mg 0.000 0.000 0.000
Ga 0.000 0.000 0.336
Ga 0.000 0.000 0.664
Pt 0.500 0.500 0.184
Pt 0.500 0.500 0.500
Pt 0.500 0.500 0.816
CELL_PARAMETERS angstrom
3.063 0.000 0.000
0.000 3.063 0.000
0.000 0.000 9.970

***

No. 13
! Mg2Ga2Pt PBE relaxed; values from VASP
! spin magnetization	0.00	μB/f.u.
! D(E_F)	4.1	states/eV/cell
! energy relative to the lowest polymorph listed for this composition	0.00	kcal/mol of atoms
! formation enthalpy at 0 K	-501	meV per atom
! V	18.792	Å³/atom
&SYSTEM
  ibrav = 0, nat = 10, ntyp = 3
/
ATOMIC_SPECIES
Mg 24.30 Mg.upf
Ga 69.72 Ga.upf
Pt 195.08 Pt.upf
ATOMIC_POSITIONS crystal
Mg 0.013 0.013 0.184
Mg 0.186 0.186 0.626
Mg 0.814 0.814 0.374
Mg 0.987 0.987 0.816
Ga 0.349 0.349 0.953
Ga 0.455 0.455 0.599
Ga 0.545 0.545 0.401
Ga 0.651 0.651 0.047
Pt 0.297 0.297 0.179
Pt 0.703 0.703 0.821
CELL_PARAMETERS angstrom
4.840 -2.035 0.000
4.840 2.035 0.000
-4.386 0.000 9.542

***

No. 14
! Mg4Ga2Pt PBE relaxed; values from VASP
! spin magnetization	0.00	μB/f.u.
! D(E_F)	6.7	states/eV/cell
! formation enthalpy at 0 K	-106	meV per atom
! V	24.506	Å³/atom
&SYSTEM
  ibrav = 0, nat = 14, ntyp = 3
/
ATOMIC_SPECIES
Mg 24.30 Mg.upf
Ga 69.72 Ga.upf
Pt 195.08 Pt.upf
ATOMIC_POSITIONS crystal
Mg 0.000 0.000 0.192
Mg 0.000 0.000 0.808
Mg 0.000 0.500 0.000
Mg 0.000 0.500 0.500
Mg 0.500 0.000 0.000
Mg 0.500 0.000 0.500
Mg 0.500 0.500 0.308
Mg 0.500 0.500 0.692
Ga 0.000 0.000 0.397
Ga 0.000 0.000 0.603
Ga 0.500 0.500 0.103
Ga 0.500 0.500 0.897
Pt 0.000 0.000 0.000
Pt 0.500 0.500 0.500
CELL_PARAMETERS angstrom
5.106 0.000 0.000
0.000 5.106 0.000
0.000 0.000 13.158

***

No. 15
! Mg6GaPt5 PBE relaxed; values from VASP
! spin magnetization	0.00	μB/f.u.
! D(E_F)	4.2	states/eV/cell
! formation enthalpy at 0 K	-750	meV per atom
! V	16.272	Å³/atom
&SYSTEM
  ibrav = 0, nat = 12, ntyp = 3
/
ATOMIC_SPECIES
Mg 24.30 Mg.upf
Ga 69.72 Ga.upf
Pt 195.08 Pt.upf
ATOMIC_POSITIONS crystal
Mg 0.059 0.329 0.731
Mg 0.219 0.000 0.219
Mg 0.402 0.671 0.731
Mg 0.598 0.329 0.269
Mg 0.781 0.000 0.781
Mg 0.941 0.671 0.269
Ga 0.500 0.500 0.000
Pt 0.000 0.500 0.500
Pt 0.181 0.181 0.000
Pt 0.356 0.856 0.500
Pt 0.644 0.144 0.500
Pt 0.819 0.819 0.000
CELL_PARAMETERS angstrom
-2.103 3.848 6.032
2.103 -3.848 6.032
2.103 3.848 -6.032

***

No. 16
! Mg2GaPt2 PBE relaxed; values from VASP
! spin magnetization	0.00	μB/f.u.
! D(E_F)	3.4	states/eV/cell
! formation enthalpy at 0 K	-553	meV per atom
! V	18.294	Å³/atom
&SYSTEM
  ibrav = 0, nat = 10, ntyp = 3
/
ATOMIC_SPECIES
Mg 24.30 Mg.upf
Ga 69.72 Ga.upf
Pt 195.08 Pt.upf
ATOMIC_POSITIONS crystal
Mg 0.113 0.141 0.254
Mg 0.387 0.641 0.028
Mg 0.613 0.359 0.972
Mg 0.887 0.859 0.746
Ga 0.250 0.750 0.500
Ga 0.750 0.250 0.500
Pt 0.146 0.729 0.875
Pt 0.354 0.229 0.583
Pt 0.646 0.771 0.417
Pt 0.854 0.271 0.125
CELL_PARAMETERS angstrom
-3.225 5.368 2.642
3.225 -5.368 2.642
3.225 5.368 -2.642

***

No. 17
! MgGa2Pt4 PBE relaxed; values from VASP
! spin magnetization	0.00	μB/f.u.
! D(E_F)	2.6	states/eV/cell
! energy relative to the lowest polymorph listed for this composition	0.00	kcal/mol of atoms
! formation enthalpy at 0 K	-617	meV per atom
! V	16.319	Å³/atom
&SYSTEM
  ibrav = 0, nat = 14, ntyp = 3
/
ATOMIC_SPECIES
Mg 24.30 Mg.upf
Ga 69.72 Ga.upf
Pt 195.08 Pt.upf
ATOMIC_POSITIONS crystal
Mg 0.000 0.000 0.000
Mg 0.500 0.500 0.000
Ga 0.240 0.500 0.485
Ga 0.260 0.000 0.515
Ga 0.740 0.000 0.485
Ga 0.760 0.500 0.515
Pt 0.000 0.254 0.500
Pt 0.000 0.746 0.500
Pt 0.250 0.250 0.000
Pt 0.250 0.750 0.000
Pt 0.500 0.246 0.500
Pt 0.500 0.754 0.500
Pt 0.750 0.250 0.000
Pt 0.750 0.750 0.000
CELL_PARAMETERS angstrom
9.091 0.000 0.000
0.000 5.713 0.000
-0.894 0.000 4.399

***

No. 18
! Mg2GaPt2 PBE relaxed; values from VASP
! spin magnetization	0.00	μB/f.u.
! D(E_F)	3.9	states/eV/cell
! formation enthalpy at 0 K	-705	meV per atom
! V	17.635	Å³/atom
&SYSTEM
  ibrav = 0, nat = 10, ntyp = 3
/
ATOMIC_SPECIES
Mg 24.30 Mg.upf
Ga 69.72 Ga.upf
Pt 195.08 Pt.upf
ATOMIC_POSITIONS crystal
Mg 0.157 0.343 0.000
Mg 0.343 0.843 0.000
Mg 0.657 0.157 0.000
Mg 0.843 0.657 0.000
Ga 0.000 0.000 0.500
Ga 0.500 0.500 0.500
Pt 0.148 0.648 0.500
Pt 0.352 0.148 0.500
Pt 0.648 0.852 0.500
Pt 0.852 0.352 0.500
CELL_PARAMETERS angstrom
6.674 0.000 0.000
0.000 6.674 0.000
0.000 0.000 3.959

***

No. 19
! Mg2Ga8Pt PBE relaxed; values from VASP
! spin magnetization	0.00	μB/f.u.
! D(E_F)	4.3	states/eV/cell
! formation enthalpy at 0 K	-210	meV per atom
! V	18.476	Å³/atom
&SYSTEM
  ibrav = 0, nat = 11, ntyp = 3
/
ATOMIC_SPECIES
Mg 24.30 Mg.upf
Ga 69.72 Ga.upf
Pt 195.08 Pt.upf
ATOMIC_POSITIONS crystal
Mg 0.000 0.000 0.180
Mg 0.000 0.000 0.820
Ga 0.000 0.500 0.000
Ga 0.000 0.500 0.366
Ga 0.000 0.500 0.634
Ga 0.500 0.000 0.000
Ga 0.500 0.000 0.366
Ga 0.500 0.000 0.634
Ga 0.500 0.500 0.191
Ga 0.500 0.500 0.809
Pt 0.000 0.000 0.500
CELL_PARAMETERS angstrom
4.290 0.000 0.000
0.000 4.290 0.000
0.000 0.000 11.044

***

No. 20
! Mg3Ga3Pt2 PBE relaxed; values from VASP
! spin magnetization	0.00	μB/f.u.
! D(E_F)	5.2	states/eV/cell
! energy relative to the lowest polymorph listed for this composition	0.09	kcal/mol of atoms
! formation enthalpy at 0 K	-586	meV per atom
! V	18.291	Å³/atom
&SYSTEM
  ibrav = 0, nat = 16, ntyp = 3
/
ATOMIC_SPECIES
Mg 24.30 Mg.upf
Ga 69.72 Ga.upf
Pt 195.08 Pt.upf
ATOMIC_POSITIONS crystal
Mg 0.063 0.937 0.618
Mg 0.063 0.937 0.882
Mg 0.349 0.651 0.750
Mg 0.651 0.349 0.250
Mg 0.937 0.063 0.118
Mg 0.937 0.063 0.382
Ga 0.368 0.632 0.528
Ga 0.368 0.632 0.972
Ga 0.372 0.628 0.250
Ga 0.628 0.372 0.750
Ga 0.632 0.368 0.028
Ga 0.632 0.368 0.472
Pt 0.221 0.779 0.116
Pt 0.221 0.779 0.384
Pt 0.779 0.221 0.616
Pt 0.779 0.221 0.884
CELL_PARAMETERS angstrom
1.956 -4.889 0.000
1.956 4.889 0.000
0.000 0.000 15.301

***

No. 21
! MgGa2Pt PBE relaxed; values from VASP
! spin magnetization	0.00	μB/f.u.
! D(E_F)	1.5	states/eV/cell
! formation enthalpy at 0 K	-409	meV per atom
! V	16.348	Å³/atom
&SYSTEM
  ibrav = 0, nat = 4, ntyp = 3
/
ATOMIC_SPECIES
Mg 24.30 Mg.upf
Ga 69.72 Ga.upf
Pt 195.08 Pt.upf
ATOMIC_POSITIONS crystal
Mg 0.000 0.000 0.000
Ga 0.000 0.500 0.500
Ga 0.500 0.000 0.500
Pt 0.500 0.500 0.000
CELL_PARAMETERS angstrom
3.994 0.000 0.000
0.000 3.994 0.000
0.000 0.000 4.099

***

No. 22
! Mg4Ga6Pt7 PBE relaxed; values from VASP
! spin magnetization	0.00	μB/f.u.
! D(E_F)	6.3	states/eV/cell
! formation enthalpy at 0 K	-727	meV per atom
! V	16.606	Å³/atom
&SYSTEM
  ibrav = 0, nat = 17, ntyp = 3
/
ATOMIC_SPECIES
Mg 24.30 Mg.upf
Ga 69.72 Ga.upf
Pt 195.08 Pt.upf
ATOMIC_POSITIONS crystal
Mg 0.000 0.000 0.500
Mg 0.000 0.500 0.000
Mg 0.500 0.000 0.000
Mg 0.500 0.500 0.500
Ga 0.000 0.309 0.309
Ga 0.000 0.691 0.691
Ga 0.309 0.000 0.309
Ga 0.309 0.309 0.000
Ga 0.691 0.000 0.691
Ga 0.691 0.691 0.000
Pt 0.000 0.000 0.000
Pt 0.250 0.500 0.750
Pt 0.250 0.750 0.500
Pt 0.500 0.250 0.750
Pt 0.500 0.750 0.250
Pt 0.750 0.250 0.500
Pt 0.750 0.500 0.250
CELL_PARAMETERS angstrom
-4.133 4.133 4.133
4.133 -4.133 4.133
4.133 4.133 -4.133

***

No. 23
! Mg5GaPt6 PBE relaxed; values from VASP
! spin magnetization	0.00	μB/f.u.
! D(E_F)	2.6	states/eV/cell
! formation enthalpy at 0 K	-857	meV per atom
! V	15.661	Å³/atom
&SYSTEM
  ibrav = 0, nat = 12, ntyp = 3
/
ATOMIC_SPECIES
Mg 24.30 Mg.upf
Ga 69.72 Ga.upf
Pt 195.08 Pt.upf
ATOMIC_POSITIONS crystal
Mg 0.000 0.000 0.000
Mg 0.164 0.836 0.500
Mg 0.329 0.671 0.000
Mg 0.671 0.329 0.000
Mg 0.836 0.164 0.500
Ga 0.500 0.500 0.500
Pt 0.091 0.421 0.256
Pt 0.262 0.262 0.763
Pt 0.421 0.091 0.256
Pt 0.579 0.909 0.744
Pt 0.738 0.738 0.237
Pt 0.909 0.579 0.744
CELL_PARAMETERS angstrom
4.107 -6.329 0.000
4.107 6.329 0.000
-2.137 0.000 3.615